(1)
{"formula": "PmInSb3", "functional": "PBE-GGA", "state": "relaxed", "cell": [[14.925, 0.000, 0.000], [0.000, 6.199, 0.000], [0.000, 0.000, 6.359]], "species": ["Pm", "Pm", "Pm", "Pm", "In", "In", "In", "In", "Sb", "Sb", "Sb", "Sb", "Sb", "Sb", "Sb", "Sb", "Sb", "Sb", "Sb", "Sb"], "frac_coords": [[0.167, 0.007, 0.250], [0.167, 0.493, 0.750], [0.833, 0.507, 0.250], [0.833, 0.993, 0.750], [0.396, 0.750, 0.000], [0.396, 0.750, 0.500], [0.604, 0.250, 0.000], [0.604, 0.250, 0.500], [0.003, 0.750, 0.000], [0.003, 0.750, 0.500], [0.221, 0.001, 0.750], [0.221, 0.499, 0.250], [0.384, 0.240, 0.250], [0.384, 0.260, 0.750], [0.616, 0.740, 0.250], [0.616, 0.760, 0.750], [0.779, 0.501, 0.750], [0.779, 0.999, 0.250], [0.997, 0.250, 0.000], [0.997, 0.250, 0.500]], "e_form_raw_ev_per_atom": -0.4376}


(2)
{"formula": "PmIn2Sb", "functional": "PBE-GGA", "state": "relaxed", "cell": [[4.660, 0.000, 0.000], [0.000, 4.660, 0.000], [0.000, 0.000, 4.936]], "species": ["Pm", "In", "In", "Sb"], "frac_coords": [[0.000, 0.000, 0.000], [0.000, 0.500, 0.500], [0.500, 0.000, 0.500], [0.500, 0.500, 0.000]], "e_form_raw_ev_per_atom": -0.4948, "de_polymorph_mev_per_atom": 0.0}


(3)
{"formula": "Pm6InSb2", "functional": "PBE-GGA", "state": "relaxed", "cell": [[4.391, 0.000, 0.000], [0.000, 7.418, 4.281], [0.000, -7.418, 4.281]], "species": ["Pm", "Pm", "Pm", "Pm", "Pm", "Pm", "In", "Sb", "Sb"], "frac_coords": [[0.000, 0.000, 0.000], [0.000, 0.473, 0.736], [0.000, 0.736, 0.473], [0.500, 0.147, 0.736], [0.500, 0.325, 0.325], [0.500, 0.736, 0.147], [0.500, 0.737, 0.737], [0.000, 0.069, 0.403], [0.000, 0.403, 0.069]], "e_form_raw_ev_per_atom": -0.6291}


(4)
{"formula": "PmSmInSb", "functional": "PBE-GGA", "state": "relaxed", "cell": [[7.716, 0.000, 0.000], [0.000, 7.716, 0.000], [0.000, 0.000, 7.716]], "species": ["Pm", "Pm", "Pm", "Pm", "Sm", "Sm", "Sm", "Sm", "In", "In", "In", "In", "Sb", "Sb", "Sb", "Sb"], "frac_coords": [[0.000, 0.000, 0.000], [0.000, 0.500, 0.500], [0.500, 0.000, 0.500], [0.500, 0.500, 0.000], [0.000, 0.000, 0.500], [0.000, 0.500, 0.000], [0.500, 0.000, 0.000], [0.500, 0.500, 0.500], [0.250, 0.250, 0.750], [0.250, 0.750, 0.250], [0.750, 0.250, 0.250], [0.750, 0.750, 0.750], [0.250, 0.250, 0.250], [0.250, 0.750, 0.750], [0.750, 0.250, 0.750], [0.750, 0.750, 0.250]], "e_form_raw_ev_per_atom": -0.5837}


(5)
{"formula": "SrPmInSb", "functional": "PBE-GGA", "state": "relaxed", "cell": [[7.906, 0.000, 0.000], [0.000, 7.906, 0.000], [0.000, 0.000, 7.906]], "species": ["Sr", "Sr", "Sr", "Sr", "Pm", "Pm", "Pm", "Pm", "In", "In", "In", "In", "Sb", "Sb", "Sb", "Sb"], "frac_coords": [[0.000, 0.000, 0.000], [0.000, 0.500, 0.500], [0.500, 0.000, 0.500], [0.500, 0.500, 0.000], [0.000, 0.000, 0.500], [0.000, 0.500, 0.000], [0.500, 0.000, 0.000], [0.500, 0.500, 0.500], [0.250, 0.250, 0.250], [0.250, 0.750, 0.750], [0.750, 0.250, 0.750], [0.750, 0.750, 0.250], [0.250, 0.250, 0.750], [0.250, 0.750, 0.250], [0.750, 0.250, 0.250], [0.750, 0.750, 0.750]], "e_form_raw_ev_per_atom": -0.5416}


(6)
{"formula": "Pm4InSbTe2", "functional": "PBE-GGA", "state": "relaxed", "cell": [[7.814, 0.000, 0.000], [0.000, 4.406, 0.000], [-2.501, 0.000, 7.422]], "species": ["Pm", "Pm", "Pm", "Pm", "In", "Sb", "Te", "Te"], "frac_coords": [[0.248, 0.000, 0.241], [0.250, 0.500, 0.754], [0.750, 0.500, 0.246], [0.752, 0.000, 0.759], [0.500, 0.000, 0.000], [0.000, 0.500, 0.000], [0.000, 0.000, 0.500], [0.500, 0.500, 0.500]], "e_form_raw_ev_per_atom": -1.1197}


(7)
{"formula": "PmScIn2", "functional": "PBE-GGA", "state": "relaxed", "cell": [[3.578, 0.000, 0.000], [-1.789, 3.099, 0.000], [0.000, 0.000, 29.417]], "species": ["Pm", "Pm", "Pm", "Sc", "Sc", "Sc", "In", "In", "In", "In", "In", "In"], "frac_coords": [[0.000, 0.000, 0.000], [0.333, 0.667, 0.667], [0.667, 0.333, 0.333], [0.000, 0.000, 0.500], [0.333, 0.667, 0.167], [0.667, 0.333, 0.833], [0.000, 0.000, 0.245], [0.000, 0.000, 0.755], [0.333, 0.667, 0.422], [0.333, 0.667, 0.911], [0.667, 0.333, 0.089], [0.667, 0.333, 0.578]], "formation_enthalpy_0k_mev_per_atom": -274}


(8)
{"formula": "Pm5Sc2In4", "functional": "PBE-GGA", "state": "relaxed", "cell": [[-1.677, 5.078, 9.862], [1.677, -5.078, 9.862], [1.677, 5.078, -9.862]], "species": ["Pm", "Pm", "Pm", "Pm", "Pm", "Sc", "Sc", "In", "In", "In", "In"], "frac_coords": [[0.000, 0.000, 0.000], [0.084, 0.337, 0.747], [0.410, 0.663, 0.747], [0.590, 0.337, 0.253], [0.916, 0.663, 0.253], [0.262, 0.762, 0.500], [0.738, 0.238, 0.500], [0.286, 0.500, 0.786], [0.414, 0.914, 0.500], [0.586, 0.086, 0.500], [0.714, 0.500, 0.214]], "formation_enthalpy_0k_mev_per_atom": 26}


(9)
{"formula": "Pm9ScIn2", "functional": "PBE-GGA", "state": "relaxed", "cell": [[4.960, 0.000, 0.000], [0.000, 4.960, 0.000], [0.000, 0.000, 15.078]], "species": ["Pm", "Pm", "Pm", "Pm", "Pm", "Pm", "Pm", "Pm", "Pm", "Sc", "In", "In"], "frac_coords": [[0.000, 0.000, 0.000], [0.000, 0.000, 0.334], [0.000, 0.000, 0.666], [0.000, 0.500, 0.169], [0.000, 0.500, 0.500], [0.000, 0.500, 0.831], [0.500, 0.000, 0.169], [0.500, 0.000, 0.500], [0.500, 0.000, 0.831], [0.500, 0.500, 0.000], [0.500, 0.500, 0.337], [0.500, 0.500, 0.663]], "formation_enthalpy_0k_mev_per_atom": -168}


(10)
{"formula": "PmSc4In5", "functional": "PBE-GGA", "state": "relaxed", "cell": [[3.601, 0.000, 0.000], [0.000, 3.601, 0.000], [0.000, 0.000, 18.248]], "species": ["Pm", "Sc", "Sc", "Sc", "Sc", "In", "In", "In", "In", "In"], "frac_coords": [[0.000, 0.000, 0.000], [0.000, 0.000, 0.213], [0.000, 0.000, 0.405], [0.000, 0.000, 0.595], [0.000, 0.000, 0.787], [0.500, 0.500, 0.117], [0.500, 0.500, 0.309], [0.500, 0.500, 0.500], [0.500, 0.500, 0.691], [0.500, 0.500, 0.883]], "formation_enthalpy_0k_mev_per_atom": -430}


(11)
{"formula": "PmSc7In4", "functional": "PBE-GGA", "state": "relaxed", "cell": [[6.769, -2.650, 0.000], [6.769, 2.650, 0.000], [-5.855, 0.000, 8.475]], "species": ["Pm", "Sc", "Sc", "Sc", "Sc", "Sc", "Sc", "Sc", "In", "In", "In", "In"], "frac_coords": [[0.000, 0.000, 0.000], [0.058, 0.058, 0.388], [0.217, 0.217, 0.873], [0.307, 0.307, 0.373], [0.500, 0.500, 0.000], [0.693, 0.693, 0.627], [0.783, 0.783, 0.127], [0.942, 0.942, 0.612], [0.314, 0.314, 0.669], [0.430, 0.430, 0.224], [0.570, 0.570, 0.776], [0.686, 0.686, 0.331]], "formation_enthalpy_0k_mev_per_atom": -82}


(12)
{"formula": "PmScIn2", "functional": "PBE-GGA", "state": "relaxed", "cell": [[4.802, 0.000, 0.000], [0.000, 4.802, 0.000], [0.000, 0.000, 4.435]], "species": ["Pm", "Sc", "In", "In"], "frac_coords": [[0.000, 0.000, 0.000], [0.500, 0.500, 0.000], [0.000, 0.500, 0.500], [0.500, 0.000, 0.500]], "formation_enthalpy_0k_mev_per_atom": -431}